VASP calculation (PBE) on crystalline TlCdTeMo2 at its relaxed geometry.

abc: 5.1166 5.1166 5.5520
angles: 90.00 90.00 90.00
With the nearest neighbours (Å) after each atom.
Positions (direct):
Tl  0.0000  0.0000  0.0000  4 Cd 3.62, 8 Mo 3.78
Cd  0.5000  0.5000  0.0000  2 Te 2.78
Te  0.5000  0.5000  0.5000  4 Mo 2.56, 2 Cd 2.78
Mo  0.0000  0.5000  0.5000  2 Te 2.56
Mo  0.5000  0.0000  0.5000  2 Te 2.56

Summary:
- Raw total energy: -20.9 eV for the cell shown
- Energy relative to the elements, uncorrected: 139.5 kJ per mole of atoms
- Space group: P4/mmm (123)
- Crystal system: tetragonal